# K3ZrMo

A relaxed structure of K3ZrMo (PBE, Alexandria via LeMat-Bulk).

Cell and atoms, written as POSCAR:
```
K3ZrMo
1.0
5.970 0.000 0.000
0.000 5.970 0.000
0.000 0.000 5.970
K Zr Mo
3 1 1
Direct
0.000 0.000 0.500
0.000 0.500 0.000
0.500 0.000 0.000
0.500 0.500 0.500
0.000 0.000 0.000
```

**Formation enthalpy at 0 K**: 227 kJ/mol of atoms
**E above lowest polymorph**: 349.5 meV/atom
**Total magnetic moment**: 0.024 μB/atom